## MgCr5S8 (PBE)

Data for a relaxed MgCr5S8 crystal.

a = 7.164 Å, b = 7.164 Å, c = 7.164 Å
α = 60.00°, β = 60.00°, γ = 60.00°
Fractional coordinates of all 14 atoms:
Mg 0.000 0.000 0.000
Cr 0.124 0.625 0.625
Cr 0.250 0.250 0.250
Cr 0.625 0.124 0.625
Cr 0.625 0.625 0.124
Cr 0.625 0.625 0.625
S 0.385 0.385 0.385
S 0.385 0.385 0.845
S 0.385 0.845 0.385
S 0.414 0.862 0.862
S 0.845 0.385 0.385
S 0.862 0.414 0.862
S 0.862 0.862 0.414
S 0.862 0.862 0.862

Summary:
space-group type	F-43m
E_form (uncorrected)	-0.77	eV per atom

=====

## MgCr2S5 (PBE)

Data for a relaxed MgCr2S5 crystal.

a = 3.830 Å, b = 14.156 Å, c = 6.092 Å
α = 90.00°, β = 90.00°, γ = 90.00°
Fractional coordinates of all 16 atoms:
Mg 0.250 0.250 0.082
Mg 0.750 0.750 0.918
Cr 0.250 0.599 0.462
Cr 0.250 0.901 0.462
Cr 0.750 0.099 0.538
Cr 0.750 0.401 0.538
S 0.250 0.061 0.349
S 0.250 0.439 0.349
S 0.250 0.654 0.135
S 0.250 0.750 0.633
S 0.250 0.846 0.135
S 0.750 0.154 0.865
S 0.750 0.250 0.367
S 0.750 0.346 0.865
S 0.750 0.561 0.651
S 0.750 0.939 0.651

Summary:
space-group type	Pmmn
E_form (uncorrected)	-0.58	eV per atom

=====

## MgCrS2 (PBE)

Data for a relaxed MgCrS2 crystal.

a = 7.845 Å, b = 7.845 Å, c = 7.845 Å
α = 25.76°, β = 25.76°, γ = 25.76°
Fractional coordinates of all 4 atoms:
Mg 0.000 0.000 0.000
Cr 0.500 0.500 0.500
S 0.110 0.110 0.110
S 0.890 0.890 0.890

Summary:
space-group type	R-3m
E_form (uncorrected)	-0.60	eV per atom

=====

## MgCrS2 (PBE)

Data for a relaxed MgCrS2 crystal.

a = 7.596 Å, b = 7.596 Å, c = 7.596 Å
α = 28.93°, β = 28.93°, γ = 28.93°
Fractional coordinates of all 4 atoms:
Mg 0.000 0.000 0.000
Cr 0.500 0.500 0.500
S 0.398 0.398 0.398
S 0.602 0.602 0.602

Summary:
space-group type	R-3m
E_form (uncorrected)	-0.44	eV per atom

=====

## MgCr2S4 (PBE)

Data for a relaxed MgCr2S4 crystal.

a = 7.212 Å, b = 7.212 Å, c = 7.212 Å
α = 60.00°, β = 60.00°, γ = 60.00°
Fractional coordinates of all 14 atoms:
Mg 0.125 0.125 0.125
Mg 0.875 0.875 0.875
Cr 0.000 0.500 0.500
Cr 0.500 0.000 0.500
Cr 0.500 0.500 0.000
Cr 0.500 0.500 0.500
S 0.263 0.263 0.263
S 0.263 0.263 0.710
S 0.263 0.710 0.263
S 0.290 0.737 0.737
S 0.710 0.263 0.263
S 0.737 0.290 0.737
S 0.737 0.737 0.290
S 0.737 0.737 0.737

Summary:
space-group type	Fd-3m
E_form (uncorrected)	-0.92	eV per atom

=====

## Mg2CrS (PBE)

Data for a relaxed Mg2CrS crystal.

a = 6.125 Å, b = 6.125 Å, c = 6.125 Å
α = 101.06°, β = 101.06°, γ = 128.04°
Fractional coordinates of all 8 atoms:
Mg 0.062 0.625 0.937
Mg 0.375 0.312 0.437
Mg 0.688 0.125 0.063
Mg 0.875 0.938 0.563
Cr 0.250 0.750 0.500
Cr 0.500 0.500 0.000
S 0.000 0.000 0.000
S 0.750 0.250 0.500

Summary:
space-group type	I-42d
E_form (uncorrected)	-0.03	eV per atom

=====

## MgCr3S (PBE)

Data for a relaxed MgCr3S crystal.

a = 4.193 Å, b = 4.193 Å, c = 4.193 Å
α = 90.00°, β = 90.00°, γ = 90.00°
Fractional coordinates of all 5 atoms:
Mg 0.000 0.000 0.000
Cr 0.000 0.500 0.500
Cr 0.500 0.000 0.500
Cr 0.500 0.500 0.000
S 0.500 0.500 0.500

Summary:
polymorph energy (0 for the lowest one)	0.0	meV per atom
space-group type	Pm-3m
E_form (uncorrected)	0.35	eV per atom

=====

## MgCr2S (PBE)

Data for a relaxed MgCr2S crystal.

a = 4.282 Å, b = 4.282 Å, c = 4.282 Å
α = 60.00°, β = 60.00°, γ = 60.00°
Fractional coordinates of all 4 atoms:
Mg 0.000 0.000 0.000
Cr 0.250 0.250 0.250
Cr 0.750 0.750 0.750
S 0.500 0.500 0.500

Summary:
polymorph energy (0 for the lowest one)	252.5	meV per atom
space-group type	Fm-3m
E_form (uncorrected)	0.57	eV per atom

=====

## Mg2Cr2S (PBE)

Data for a relaxed Mg2Cr2S crystal.

a = 7.259 Å, b = 7.259 Å, c = 3.492 Å
α = 90.00°, β = 90.00°, γ = 90.00°
Fractional coordinates of all 10 atoms:
Mg 0.196 0.304 0.000
Mg 0.304 0.804 0.000
Mg 0.696 0.196 0.000
Mg 0.804 0.696 0.000
Cr 0.089 0.589 0.500
Cr 0.411 0.089 0.500
Cr 0.589 0.911 0.500
Cr 0.911 0.411 0.500
S 0.000 0.000 0.000
S 0.500 0.500 0.000

Summary:
polymorph energy (0 for the lowest one)	511.4	meV per atom
space-group type	P4/mbm
E_form (uncorrected)	0.58	eV per atom

=====

## Mg2Cr2S (PBE)

Data for a relaxed Mg2Cr2S crystal.

a = 8.308 Å, b = 8.308 Å, c = 8.308 Å
α = 157.69°, β = 157.69°, γ = 31.76°
Fractional coordinates of all 5 atoms:
Mg 0.096 0.096 0.000
Mg 0.904 0.904 0.000
Cr 0.250 0.750 0.500
Cr 0.750 0.250 0.500
S 0.500 0.500 0.000

Summary:
polymorph energy (0 for the lowest one)	0.0	meV per atom
space-group type	I4/mmm
E_form (uncorrected)	0.07	eV per atom

=====

## MgCr2S2 (PBE)

Data for a relaxed MgCr2S2 crystal.

a = 6.946 Å, b = 6.946 Å, c = 3.149 Å
α = 90.00°, β = 90.00°, γ = 90.00°
Fractional coordinates of all 10 atoms:
Mg 0.000 0.000 0.000
Mg 0.500 0.500 0.000
Cr 0.131 0.369 0.000
Cr 0.369 0.869 0.000
Cr 0.631 0.131 0.000
Cr 0.869 0.631 0.000
S 0.160 0.660 0.500
S 0.340 0.160 0.500
S 0.660 0.840 0.500
S 0.840 0.340 0.500

Summary:
polymorph energy (0 for the lowest one)	158.5	meV per atom
space-group type	P4/mbm
E_form (uncorrected)	0.00	eV per atom

=====

## MgCr2S (PBE)

Data for a relaxed MgCr2S crystal.

a = 9.265 Å, b = 9.265 Å, c = 9.265 Å
α = 157.60°, β = 157.60°, γ = 31.88°
Fractional coordinates of all 8 atoms:
Mg 0.000 0.000 0.000
Mg 0.750 0.250 0.500
Cr 0.197 0.625 0.072
Cr 0.375 0.447 0.572
Cr 0.553 0.125 0.928
Cr 0.875 0.803 0.428
S 0.250 0.750 0.500
S 0.500 0.500 0.000

Summary:
polymorph energy (0 for the lowest one)	0.0	meV per atom
space-group type	I-42d
E_form (uncorrected)	0.31	eV per atom

=====

## MgCr2S2 (PBE)

Data for a relaxed MgCr2S2 crystal.

a = 4.956 Å, b = 4.956 Å, c = 4.956 Å
α = 127.03°, β = 127.03°, γ = 78.20°
Fractional coordinates of all 5 atoms:
Mg 0.000 0.000 0.000
Cr 0.371 0.371 0.000
Cr 0.629 0.629 0.000
S 0.250 0.750 0.500
S 0.750 0.250 0.500

Summary:
polymorph energy (0 for the lowest one)	0.0	meV per atom
space-group type	I4/mmm
E_form (uncorrected)	-0.16	eV per atom

=====

## MgCr3S (PBE)

Data for a relaxed MgCr3S crystal.

a = 4.939 Å, b = 4.939 Å, c = 4.939 Å
α = 90.00°, β = 90.00°, γ = 90.00°
Fractional coordinates of all 5 atoms:
Mg 0.000 0.000 0.000
Cr 0.000 0.000 0.500
Cr 0.000 0.500 0.000
Cr 0.500 0.000 0.000
S 0.500 0.500 0.500

Summary:
polymorph energy (0 for the lowest one)	1336.6	meV per atom
space-group type	Pm-3m
E_form (uncorrected)	1.68	eV per atom

=====

## Mg5CrS6 (PBE)

Data for a relaxed Mg5CrS6 crystal.

a = 6.378 Å, b = 6.378 Å, c = 6.369 Å
α = 99.56°, β = 99.56°, γ = 120.08°
Fractional coordinates of all 12 atoms:
Mg 0.000 0.000 0.000
Mg 0.167 0.833 0.500
Mg 0.334 0.666 0.000
Mg 0.666 0.334 0.000
Mg 0.833 0.167 0.500
Cr 0.500 0.500 0.500
S 0.087 0.416 0.251
S 0.254 0.254 0.745
S 0.416 0.087 0.251
S 0.584 0.913 0.749
S 0.746 0.746 0.255
S 0.913 0.584 0.749

Summary:
space-group type	C2/m
E_form (uncorrected)	-1.24	eV per atom

=====

## Mg2Sc3CrS8 (PBE)

Data for a relaxed Mg2Sc3CrS8 crystal.

a = 7.463 Å, b = 7.463 Å, c = 7.463 Å
α = 60.24°, β = 60.24°, γ = 60.24°
Fractional coordinates of all 14 atoms:
Mg 0.126 0.126 0.126
Mg 0.874 0.874 0.874
Sc 0.000 0.500 0.500
Sc 0.500 0.000 0.500
Sc 0.500 0.500 0.000
Cr 0.500 0.500 0.500
S 0.258 0.258 0.258
S 0.267 0.267 0.722
S 0.267 0.722 0.267
S 0.278 0.733 0.733
S 0.722 0.267 0.267
S 0.733 0.278 0.733
S 0.733 0.733 0.278
S 0.742 0.742 0.742

Summary:
space-group type	R-3m
E_form (uncorrected)	-1.55	eV per atom

=====

## SmMgCrS4 (PBE)

Data for a relaxed SmMgCrS4 crystal.

a = 7.634 Å, b = 7.634 Å, c = 7.634 Å
α = 120.75°, β = 119.09°, γ = 90.14°
Fractional coordinates of all 14 atoms:
Sm 0.000 0.000 0.000
Sm 0.500 0.000 0.500
Mg 0.372 0.622 0.750
Mg 0.628 0.378 0.250
Cr 0.000 0.000 0.500
Cr 0.000 0.500 0.000
S 0.207 0.743 0.465
S 0.222 0.257 0.965
S 0.227 0.231 0.504
S 0.227 0.723 0.996
S 0.773 0.277 0.004
S 0.773 0.769 0.496
S 0.778 0.743 0.035
S 0.793 0.257 0.535

Summary:
space-group type	Imma
E_form (uncorrected)	-1.29	eV per atom

=====

## Mg2Ti3CrS8 (PBE)

Data for a relaxed Mg2Ti3CrS8 crystal.

a = 7.384 Å, b = 7.384 Å, c = 7.384 Å
α = 58.66°, β = 58.66°, γ = 58.66°
Fractional coordinates of all 14 atoms:
Mg 0.126 0.126 0.126
Mg 0.874 0.874 0.874
Ti 0.000 0.500 0.500
Ti 0.500 0.000 0.500
Ti 0.500 0.500 0.000
Cr 0.500 0.500 0.500
S 0.259 0.259 0.259
S 0.263 0.263 0.717
S 0.263 0.717 0.263
S 0.283 0.737 0.737
S 0.717 0.263 0.263
S 0.737 0.283 0.737
S 0.737 0.737 0.283
S 0.741 0.741 0.741

Summary:
space-group type	R-3m
E_form (uncorrected)	-1.22	eV per atom

=====

## Mg2TiCr3S8 (PBE)

Data for a relaxed Mg2TiCr3S8 crystal.

a = 7.229 Å, b = 7.229 Å, c = 7.229 Å
α = 60.42°, β = 60.42°, γ = 60.42°
Fractional coordinates of all 14 atoms:
Mg 0.125 0.125 0.125
Mg 0.875 0.875 0.875
Ti 0.500 0.500 0.500
Cr 0.000 0.500 0.500
Cr 0.500 0.000 0.500
Cr 0.500 0.500 0.000
S 0.259 0.259 0.714
S 0.259 0.714 0.259
S 0.263 0.263 0.263
S 0.286 0.741 0.741
S 0.714 0.259 0.259
S 0.737 0.737 0.737
S 0.741 0.286 0.741
S 0.741 0.741 0.286

Summary:
space-group type	R-3m
E_form (uncorrected)	-1.01	eV per atom

=====

## MgTl2Cr2S6 (PBE)

Data for a relaxed MgTl2Cr2S6 crystal.

a = 6.239 Å, b = 6.239 Å, c = 7.448 Å
α = 97.37°, β = 97.37°, γ = 120.83°
Fractional coordinates of all 11 atoms:
Mg 0.000 0.000 0.000
Tl 0.160 0.840 0.500
Tl 0.840 0.160 0.500
Cr 0.332 0.668 0.000
Cr 0.668 0.332 0.000
S 0.054 0.418 0.183
S 0.302 0.302 0.819
S 0.418 0.054 0.183
S 0.582 0.946 0.817
S 0.698 0.698 0.181
S 0.946 0.582 0.817

Summary:
space-group type	C2/m
E_form (uncorrected)	-0.64	eV per atom

=====

## MgTl3Cr2S6 (PBE)

Data for a relaxed MgTl3Cr2S6 crystal.

a = 6.391 Å, b = 6.391 Å, c = 7.480 Å
α = 98.22°, β = 98.22°, γ = 119.93°
Fractional coordinates of all 12 atoms:
Mg 0.000 0.000 0.000
Tl 0.161 0.839 0.500
Tl 0.500 0.500 0.500
Tl 0.839 0.161 0.500
Cr 0.333 0.667 0.000
Cr 0.667 0.333 0.000
S 0.061 0.416 0.182
S 0.295 0.295 0.827
S 0.416 0.061 0.182
S 0.584 0.939 0.818
S 0.705 0.705 0.173
S 0.939 0.584 0.818

Summary:
space-group type	C2/m
E_form (uncorrected)	-0.63	eV per atom

=====

## MgV3CrS8 (PBE)

Data for a relaxed MgV3CrS8 crystal.

a = 7.058 Å, b = 7.058 Å, c = 7.058 Å
α = 59.01°, β = 59.01°, γ = 59.01°
Fractional coordinates of all 13 atoms:
Mg 0.000 0.000 0.000
V 0.387 0.387 0.826
V 0.387 0.826 0.387
V 0.826 0.387 0.387
Cr 0.374 0.374 0.374
S 0.127 0.617 0.617
S 0.132 0.132 0.579
S 0.132 0.579 0.132
S 0.137 0.137 0.137
S 0.579 0.132 0.132
S 0.617 0.127 0.617
S 0.617 0.617 0.127
S 0.621 0.621 0.621

Summary:
space-group type	R3m
E_form (uncorrected)	-0.90	eV per atom